First-principles (PBE) data for a geometry-optimized Li2ZrTc structure, as listed in Alexandria.

a b c (Å): 3.7123 3.7123 21.2351
angles (deg): 90.00 90.00 90.00
Space group I-42d (No. 122)
Unique sites:
Li  0.2198  0.2500  0.1250 x8
Zr  0.0000  0.0000  0.5000 x4
Tc  0.0000  0.0000  0.0000 x4

Results
Polymorph energy (0 for the lowest one) ... 0.200 eV/atom
N(E_F) ... 0.90 states/eV per atom
Energy of formation from the pure elements ... 7.9 kcal/mol of atoms
Total DFT energy (no corrections) ... -21.37 eV/f.u.